The following is a DFT calculation (PBE) of NiP2W2 after structural relaxation.

Output
The value obtained for the density of states at the Fermi level is 3.498 states/eV/cell. Its space group is No. 139. For the formation energy from the elements, the calculation gives 0.093 eV per atom.

a = 4.1595 Å, b = 4.1595 Å, c = 5.3478 Å
α = 67.11°, β = 67.11°, γ = 90.00°
Fractional coordinates of all 5 atoms:
W (0.7500, 0.2500, 0.5000)
W (0.2500, 0.7500, 0.5000)
P (0.6184, 0.6184, 0.7631)
P (0.3816, 0.3816, 0.2369)
Ni (0.0000, 0.0000, 0.0000)